# 1
Crystalline MnTl3Sb at its relaxed geometry. Source: Alexandria, functional PBE.

a = 5.3037 Å, b = 5.3037 Å, c = 5.3037 Å
α = 90.00°, β = 90.00°, γ = 90.00°
Positions (direct):
Tl 0.0000 0.5000 0.0000
Sb 0.5000 0.5000 0.5000
Mn 0.0000 0.0000 0.0000
Tl 0.5000 0.0000 0.0000
Tl 0.0000 0.0000 0.5000

Properties
* total magnetization: 3.95 Bohr magnetons per cell
* E_form (uncorrected): 432 meV per atom
* distance to the lowest polymorph of the same formula: 0.000 eV per formula unit
* raw total energy: -0.2680 Ry/atom



# 2
Crystalline MnTlSb2 at its relaxed geometry. Source: Alexandria, functional PBE.

a = 5.5412 Å, b = 5.5412 Å, c = 5.5412 Å
α = 128.56°, β = 128.56°, γ = 75.73°
Positions (direct):
Sb 0.0000 0.0000 0.0000
Sb 0.5000 0.5000 0.0000
Tl 0.2500 0.7500 0.5000
Mn 0.7500 0.2500 0.5000

Properties
* total magnetization: 4.06 Bohr magnetons per cell
* E_form (uncorrected): 363 meV per atom
* distance to the lowest polymorph of the same formula: 1.287 eV per formula unit
* raw total energy: -0.3368 Ry/atom



# 3
Crystalline Mn2TlSb at its relaxed geometry. Source: Alexandria, functional PBE.

a = 4.5326 Å, b = 4.5326 Å, c = 3.9334 Å
α = 90.00°, β = 90.00°, γ = 90.00°
Positions (direct):
Tl 0.0000 0.5000 0.5000
Mn 0.5000 0.5000 0.0000
Sb 0.5000 0.0000 0.5000
Mn 0.0000 0.0000 0.0000

Properties
* total magnetization: 7.64 Bohr magnetons per cell
* E_form (uncorrected): 423 meV per atom
* distance to the lowest polymorph of the same formula: 0.394 eV per formula unit
* raw total energy: -0.4251 Ry/atom



# 4
Crystalline MnTlSb3 at its relaxed geometry. Source: Alexandria, functional PBE.

a = 5.6035 Å, b = 5.6035 Å, c = 5.6035 Å
α = 90.00°, β = 90.00°, γ = 90.00°
Positions (direct):
Sb 0.0000 0.5000 0.0000
Sb 0.5000 0.0000 0.0000
Tl 0.0000 0.0000 0.0000
Sb 0.0000 0.0000 0.5000
Mn 0.5000 0.5000 0.5000

Properties
* total magnetization: 0.82 Bohr magnetons per cell
* E_form (uncorrected): 1784 meV per atom
* distance to the lowest polymorph of the same formula: 7.138 eV per formula unit
* raw total energy: -0.2203 Ry/atom



# 5
Crystalline MnTlSb2 at its relaxed geometry. Source: Alexandria, functional PBE.

a = 5.0227 Å, b = 5.0227 Å, c = 5.0227 Å
α = 60.00°, β = 60.00°, γ = 60.00°
Positions (direct):
Tl 0.5000 0.5000 0.5000
Sb 0.7500 0.7500 0.7500
Mn 0.0000 0.0000 0.0000
Sb 0.2500 0.2500 0.2500

Properties
* total magnetization: 0.00 Bohr magnetons per cell
* E_form (uncorrected): 763 meV per atom
* distance to the lowest polymorph of the same formula: 2.889 eV per formula unit
* raw total energy: -0.3074 Ry/atom



# 6
Crystalline MnTlSb2 at its relaxed geometry. Source: Alexandria, functional PBE.

a = 4.2463 Å, b = 5.2013 Å, c = 4.6236 Å
α = 90.00°, β = 90.00°, γ = 90.00°
Positions (direct):
Sb 0.5000 0.5000 0.0000
Mn 0.0000 0.5000 0.5000
Sb 0.0000 0.0000 0.0000
Tl 0.5000 0.0000 0.5000

Properties
* total magnetization: 4.26 Bohr magnetons per cell
* E_form (uncorrected): 373 meV per atom
* distance to the lowest polymorph of the same formula: 1.330 eV per formula unit
* raw total energy: -0.3360 Ry/atom



# 7
Crystalline Mn2TlSb at its relaxed geometry. Source: Alexandria, functional PBE.

a = 5.0560 Å, b = 5.0560 Å, c = 5.0560 Å
α = 130.72°, β = 121.30°, γ = 80.10°
Positions (direct):
Sb 0.7500 0.2500 0.5000
Mn 0.5044 0.5044 0.0000
Mn 0.9956 0.9956 0.0000
Tl 0.2500 0.7500 0.5000

Properties
* total magnetization: 7.34 Bohr magnetons per cell
* E_form (uncorrected): 426 meV per atom
* distance to the lowest polymorph of the same formula: 0.408 eV per formula unit
* raw total energy: -0.4249 Ry/atom



# 8
Crystalline MnTlSb2 at its relaxed geometry. Source: Alexandria, functional PBE.

a = 5.1919 Å, b = 5.1919 Å, c = 3.9243 Å
α = 90.00°, β = 90.00°, γ = 104.79°
Positions (direct):
Sb 0.5000 0.5000 0.0000
Tl 0.5000 0.0000 0.5000
Mn 0.0000 0.5000 0.5000
Sb 0.0000 0.0000 0.0000

Properties
* total magnetization: 4.13 Bohr magnetons per cell
* E_form (uncorrected): 358 meV per atom
* distance to the lowest polymorph of the same formula: 1.268 eV per formula unit
* raw total energy: -0.3372 Ry/atom



# 9
Crystalline MnTlSb2 at its relaxed geometry. Source: Alexandria, functional PBE.

a = 6.0151 Å, b = 3.3697 Å, c = 5.1674 Å
α = 90.01°, β = 90.00°, γ = 90.00°
Positions (direct):
Sb 0.0000 0.8768 0.8750
Tl 0.0000 0.3793 0.3750
Mn 0.5000 0.8727 0.8750
Sb 0.5000 0.3711 0.3750

Properties
* total magnetization: 4.24 Bohr magnetons per cell
* E_form (uncorrected): 317 meV per atom
* distance to the lowest polymorph of the same formula: 1.106 eV per formula unit
* raw total energy: -0.3401 Ry/atom



# 10
Crystalline Mn2TlSb at its relaxed geometry. Source: Alexandria, functional PBE.

a = 3.5260 Å, b = 3.5260 Å, c = 6.4596 Å
α = 90.00°, β = 90.00°, γ = 90.00°
Positions (direct):
Tl 0.5000 0.5000 0.7500
Mn 0.0000 0.0000 0.4640
Mn 0.0000 0.0000 0.0360
Sb 0.5000 0.5000 0.2500

Properties
* total magnetization: 7.03 Bohr magnetons per cell
* E_form (uncorrected): 395 meV per atom
* distance to the lowest polymorph of the same formula: 0.281 eV per formula unit
* raw total energy: -0.4272 Ry/atom



# 11
Crystalline Mn2TlSb at its relaxed geometry. Source: Alexandria, functional PBE.

a = 4.5199 Å, b = 4.5199 Å, c = 4.5199 Å
α = 60.00°, β = 60.00°, γ = 60.00°
Positions (direct):
Sb 0.0000 0.0000 0.0000
Mn 0.7500 0.7500 0.7500
Mn 0.2500 0.2500 0.2500
Tl 0.5000 0.5000 0.5000

Properties
* total magnetization: 0.00 Bohr magnetons per cell
* E_form (uncorrected): 762 meV per atom
* distance to the lowest polymorph of the same formula: 1.749 eV per formula unit
* raw total energy: -0.4002 Ry/atom



# 12
Crystalline MnTlSb2 at its relaxed geometry. Source: Alexandria, functional PBE.

a = 4.0877 Å, b = 4.0877 Å, c = 7.9846 Å
α = 75.17°, β = 75.17°, γ = 60.00°
Positions (direct):
Mn 0.6662 0.6662 0.0014
Tl 0.5025 0.5025 0.4925
Sb 0.2759 0.2759 0.1724
Sb 0.0554 0.0554 0.8337

Properties
* total magnetization: 2.92 Bohr magnetons per cell
* E_form (uncorrected): 41 meV per atom
* distance to the lowest polymorph of the same formula: 0.000 eV per formula unit
* raw total energy: -0.3605 Ry/atom